# PBE+U PaMn2TlO8, relaxed
data_PaMn2TlO8
_chemical_formula_sum 'Pa2 Mn4 Tl2 O16'
_symmetry_space_group_name_H-M 'I -4 m 2'
_symmetry_Int_Tables_number 119
_symmetry_space_group_name_Hall 'I -4 -2'
_cell_length_a 7.031
_cell_length_b 7.031
_cell_length_c 6.676
_cell_angle_alpha 90.00
_cell_angle_beta 90.00
_cell_angle_gamma 90.00
loop_
_atom_site_label
_atom_site_type_symbol
_atom_site_fract_x
_atom_site_fract_y
_atom_site_fract_z
_atom_site_occupancy
Pa1 Pa 0.000 0.000 0.000 1
Mn1 Mn 0.000 0.000 0.500 1
Mn2 Mn 0.000 0.500 0.250 1
Tl1 Tl 0.000 0.500 0.750 1
O1 O 0.000 0.174 0.701 1
O2 O 0.000 0.316 0.062 1
# - crystal system = tetragonal
# - uncorrected energy (eV per atom) = -7.190